# YAuCl2

A crystal of YAuCl2 relaxed with PBEsol (meta-GGA SCAN, the Alexandria database). Values from VASP.

```
&SYSTEM
  ibrav = 0, nat = 4, ntyp = 3
/
ATOMIC_SPECIES
Y 88.91 Y.upf
Au 196.97 Au.upf
Cl 35.45 Cl.upf
CELL_PARAMETERS angstrom
3.5598 0.0000 0.0000
0.0000 3.5598 0.0000
0.0000 0.0000 7.1842
ATOMIC_POSITIONS crystal
Y 0.0000 0.0000 0.0000
Au 0.5000 0.5000 0.2033
Cl 0.0000 0.0000 0.3836
Cl 0.5000 0.5000 0.7614
```

Summary:
Formation energy from raw total energies (eV per atom): -1.44



# SrLi2Hg

A crystal of SrLi2Hg relaxed with PBEsol (meta-GGA SCAN, the Alexandria database). Values from VASP.

```
&SYSTEM
  ibrav = 0, nat = 4, ntyp = 3
/
ATOMIC_SPECIES
Sr 87.62 Sr.upf
Li 6.94 Li.upf
Hg 200.59 Hg.upf
CELL_PARAMETERS angstrom
3.7769 0.0000 0.0000
0.0000 3.7769 0.0000
0.0000 0.0000 7.2421
ATOMIC_POSITIONS crystal
Sr 0.0000 0.0000 0.0000
Li 0.0000 0.0000 0.4542
Li 0.5000 0.5000 0.6484
Hg 0.5000 0.5000 0.2711
```



# TcNiRh

A crystal of TcNiRh relaxed with PBEsol (meta-GGA SCAN, the Alexandria database). Values from VASP.

```
&SYSTEM
  ibrav = 0, nat = 3, ntyp = 3
/
ATOMIC_SPECIES
Tc 98.00 Tc.upf
Ni 58.69 Ni.upf
Rh 102.91 Rh.upf
CELL_PARAMETERS angstrom
-1.3217 1.8345 3.8901
1.3217 -1.8345 3.8901
1.3217 1.8345 -3.8901
ATOMIC_POSITIONS crystal
Tc 0.0000 0.0000 0.0000
Ni 0.6618 0.6618 0.0000
Rh 0.3307 0.3307 0.0000
```



# RePt2Pb

A crystal of RePt2Pb relaxed with PBEsol (meta-GGA SCAN, the Alexandria database). Values from VASP.

```
&SYSTEM
  ibrav = 0, nat = 4, ntyp = 3
/
ATOMIC_SPECIES
Re 186.21 Re.upf
Pt 195.08 Pt.upf
Pb 207.20 Pb.upf
CELL_PARAMETERS angstrom
2.7749 -4.2043 0.0000
2.7749 4.2043 0.0000
0.0000 0.0000 2.8565
ATOMIC_POSITIONS crystal
Re 0.0000 0.0000 0.0000
Pt 0.0000 0.5000 0.5000
Pt 0.5000 0.0000 0.5000
Pb 0.5000 0.5000 0.0000
```



# TlCoW

A crystal of TlCoW relaxed with PBEsol (meta-GGA SCAN, the Alexandria database). Values from VASP.

```
&SYSTEM
  ibrav = 0, nat = 3, ntyp = 3
/
ATOMIC_SPECIES
Tl 204.38 Tl.upf
Co 58.93 Co.upf
W 183.84 W.upf
CELL_PARAMETERS angstrom
2.9240 0.0000 0.0000
-1.4620 2.5323 0.0000
0.0000 0.0000 6.5368
ATOMIC_POSITIONS crystal
Tl 0.0000 0.0000 0.0000
Co 0.3333 0.6667 0.3370
W 0.6667 0.3333 0.6103
```



# Mn2CuOs

A crystal of Mn2CuOs relaxed with PBEsol (meta-GGA SCAN, the Alexandria database). Values from VASP.

```
&SYSTEM
  ibrav = 0, nat = 4, ntyp = 3
/
ATOMIC_SPECIES
Mn 54.94 Mn.upf
Cu 63.55 Cu.upf
Os 190.23 Os.upf
CELL_PARAMETERS angstrom
4.2380 -1.3086 0.0000
4.2380 1.3086 0.0000
-0.9439 0.0000 4.2799
ATOMIC_POSITIONS crystal
Mn 0.0000 0.0000 0.0000
Mn 0.7357 0.7357 0.2641
Cu 0.2451 0.2451 0.7716
Os 0.4852 0.4852 0.4920
```



# MgI2O

A crystal of MgI2O relaxed with PBEsol (meta-GGA SCAN, the Alexandria database). Values from VASP.

```
&SYSTEM
  ibrav = 0, nat = 4, ntyp = 3
/
ATOMIC_SPECIES
Mg 24.30 Mg.upf
I 126.90 I.upf
O 16.00 O.upf
CELL_PARAMETERS angstrom
0.0000 3.5671 3.5671
3.5671 0.0000 3.5671
3.5671 3.5671 0.0000
ATOMIC_POSITIONS crystal
Mg 0.0000 0.0000 0.0000
I 0.2500 0.2500 0.2500
I 0.7500 0.7500 0.7500
O 0.5000 0.5000 0.5000
```

Summary:
Formation energy from raw total energies (eV per atom): 0.11



# K2TlRuCl

A crystal of K2TlRuCl relaxed with PBEsol (meta-GGA SCAN, the Alexandria database). Values from VASP.

```
&SYSTEM
  ibrav = 0, nat = 5, ntyp = 4
/
ATOMIC_SPECIES
K 39.10 K.upf
Tl 204.38 Tl.upf
Ru 101.07 Ru.upf
Cl 35.45 Cl.upf
CELL_PARAMETERS angstrom
5.5409 0.0000 0.0000
0.0000 5.5409 0.0000
0.0000 0.0000 5.8927
ATOMIC_POSITIONS crystal
K 0.0000 0.5000 0.0000
K 0.5000 0.0000 0.0000
Tl 0.0000 0.0000 0.5000
Ru 0.5000 0.5000 0.5000
Cl 0.0000 0.0000 0.0000
```

Summary:
Formation energy from raw total energies (eV per atom): 0.25



# CdP2W

A crystal of CdP2W relaxed with PBEsol (meta-GGA SCAN, the Alexandria database). Values from VASP.

```
&SYSTEM
  ibrav = 0, nat = 4, ntyp = 3
/
ATOMIC_SPECIES
Cd 112.41 Cd.upf
P 30.97 P.upf
W 183.84 W.upf
CELL_PARAMETERS angstrom
4.0702 -1.5666 0.0000
4.0702 1.5666 0.0000
-0.6864 0.0000 5.1763
ATOMIC_POSITIONS crystal
Cd 0.0000 0.0000 0.0000
P 0.2214 0.2214 0.6760
P 0.7786 0.7786 0.3240
W 0.5000 0.5000 0.5000
```



# LiAgI2N

A crystal of LiAgI2N relaxed with PBEsol (meta-GGA SCAN, the Alexandria database). Values from VASP.

```
&SYSTEM
  ibrav = 0, nat = 5, ntyp = 4
/
ATOMIC_SPECIES
Li 6.94 Li.upf
Ag 107.87 Ag.upf
I 126.90 I.upf
N 14.01 N.upf
CELL_PARAMETERS angstrom
5.4400 0.0000 0.0000
0.0000 5.4400 0.0000
0.0000 0.0000 3.8857
ATOMIC_POSITIONS crystal
Li 0.0000 0.0000 0.0000
Ag 0.5000 0.5000 0.5000
I 0.0000 0.5000 0.0000
I 0.5000 0.0000 0.0000
N 0.0000 0.0000 0.5000
```

Summary:
Formation energy from raw total energies (eV per atom): 0.51



# ZnCd3

A crystal of ZnCd3 relaxed with PBEsol (meta-GGA SCAN, the Alexandria database). Values from VASP.

```
&SYSTEM
  ibrav = 0, nat = 4, ntyp = 2
/
ATOMIC_SPECIES
Zn 65.41 Zn.upf
Cd 112.41 Cd.upf
CELL_PARAMETERS angstrom
2.9248 0.0000 0.0000
-1.4624 2.5329 0.0000
0.0000 0.0000 10.4110
ATOMIC_POSITIONS crystal
Zn 0.0000 0.0000 0.0000
Cd 0.0000 0.0000 0.5000
Cd 0.3333 0.6667 0.2323
Cd 0.3333 0.6667 0.7677
```



# YZrAu2

A crystal of YZrAu2 relaxed with PBEsol (meta-GGA SCAN, the Alexandria database). Values from VASP.

```
&SYSTEM
  ibrav = 0, nat = 4, ntyp = 3
/
ATOMIC_SPECIES
Y 88.91 Y.upf
Zr 91.22 Zr.upf
Au 196.97 Au.upf
CELL_PARAMETERS angstrom
4.8890 0.0000 0.0000
0.0000 4.8890 0.0000
0.0000 0.0000 3.4569
ATOMIC_POSITIONS crystal
Y 0.0000 0.0000 0.0000
Zr 0.5000 0.5000 0.0000
Au 0.0000 0.5000 0.5000
Au 0.5000 0.0000 0.5000
```



# CaReAs2

A crystal of CaReAs2 relaxed with PBEsol (meta-GGA SCAN, the Alexandria database). Values from VASP.

```
&SYSTEM
  ibrav = 0, nat = 4, ntyp = 3
/
ATOMIC_SPECIES
Ca 40.08 Ca.upf
Re 186.21 Re.upf
As 74.92 As.upf
CELL_PARAMETERS angstrom
3.3003 0.0000 0.0000
0.0000 4.4443 0.0000
0.0000 0.0000 4.7310
ATOMIC_POSITIONS crystal
Ca 0.0000 0.0000 0.0000
Re 0.0000 0.5000 0.5000
As 0.5000 0.0000 0.5000
As 0.5000 0.5000 0.0000
```



# LaSeBr3

A crystal of LaSeBr3 relaxed with PBEsol (meta-GGA SCAN, the Alexandria database). Values from VASP.

```
&SYSTEM
  ibrav = 0, nat = 5, ntyp = 3
/
ATOMIC_SPECIES
La 138.91 La.upf
Se 78.96 Se.upf
Br 79.90 Br.upf
CELL_PARAMETERS angstrom
5.7685 0.0000 0.0000
0.0000 5.7685 0.0000
0.0000 0.0000 5.7685
ATOMIC_POSITIONS crystal
La 0.0000 0.0000 0.0000
Se 0.5000 0.5000 0.5000
Br 0.0000 0.0000 0.5000
Br 0.0000 0.5000 0.0000
Br 0.5000 0.0000 0.0000
```

Summary:
Formation energy from raw total energies (eV per atom): -1.18



# TlInBr2

A crystal of TlInBr2 relaxed with PBEsol (meta-GGA SCAN, the Alexandria database). Values from VASP.

```
&SYSTEM
  ibrav = 0, nat = 8, ntyp = 3
/
ATOMIC_SPECIES
Tl 204.38 Tl.upf
In 114.82 In.upf
Br 79.90 Br.upf
CELL_PARAMETERS angstrom
-4.1869 4.1869 3.9051
4.1869 -4.1869 3.9051
4.1869 4.1869 -3.9051
ATOMIC_POSITIONS crystal
Tl 0.0000 0.0000 0.0000
Tl 0.7500 0.2500 0.5000
In 0.2500 0.7500 0.5000
In 0.5000 0.5000 0.0000
Br 0.1308 0.6250 0.0058
Br 0.3750 0.3808 0.5058
Br 0.6192 0.1250 0.9942
Br 0.8750 0.8692 0.4942
```

Summary:
Formation energy from raw total energies (eV per atom): -0.68



# TiNb2V

A crystal of TiNb2V relaxed with PBEsol (meta-GGA SCAN, the Alexandria database). Values from VASP.

```
&SYSTEM
  ibrav = 0, nat = 4, ntyp = 3
/
ATOMIC_SPECIES
Ti 47.87 Ti.upf
Nb 92.91 Nb.upf
V 50.94 V.upf
CELL_PARAMETERS angstrom
0.0000 3.1794 3.1794
3.1794 0.0000 3.1794
3.1794 3.1794 0.0000
ATOMIC_POSITIONS crystal
Ti 0.0000 0.0000 0.0000
Nb 0.2500 0.2500 0.2500
Nb 0.7500 0.7500 0.7500
V 0.5000 0.5000 0.5000
```



# FeOsAu2

A crystal of FeOsAu2 relaxed with PBEsol (meta-GGA SCAN, the Alexandria database). Values from VASP.

```
&SYSTEM
  ibrav = 0, nat = 4, ntyp = 3
/
ATOMIC_SPECIES
Fe 55.84 Fe.upf
Os 190.23 Os.upf
Au 196.97 Au.upf
CELL_PARAMETERS angstrom
-1.9746 1.9746 3.8054
1.9746 -1.9746 3.8054
1.9746 1.9746 -3.8054
ATOMIC_POSITIONS crystal
Fe 0.0000 0.0000 0.0000
Os 0.7500 0.2500 0.5000
Au 0.2500 0.7500 0.5000
Au 0.5000 0.5000 0.0000
```



# BaCa2Zn

A crystal of BaCa2Zn relaxed with PBEsol (meta-GGA SCAN, the Alexandria database). Values from VASP.

```
&SYSTEM
  ibrav = 0, nat = 4, ntyp = 3
/
ATOMIC_SPECIES
Ba 137.33 Ba.upf
Ca 40.08 Ca.upf
Zn 65.41 Zn.upf
CELL_PARAMETERS angstrom
-1.9269 3.0030 6.2032
1.9269 -3.0030 6.2032
1.9269 3.0030 -6.2032
ATOMIC_POSITIONS crystal
Ba 0.0000 0.0000 0.0000
Ca 0.3056 0.8056 0.5000
Ca 0.6944 0.1944 0.5000
Zn 0.5000 0.5000 0.0000
```



# MnCu2Ir

A crystal of MnCu2Ir relaxed with PBEsol (meta-GGA SCAN, the Alexandria database). Values from VASP.

```
&SYSTEM
  ibrav = 0, nat = 4, ntyp = 3
/
ATOMIC_SPECIES
Mn 54.94 Mn.upf
Cu 63.55 Cu.upf
Ir 192.22 Ir.upf
CELL_PARAMETERS angstrom
-1.8091 1.8091 3.7979
1.8091 -1.8091 3.7979
1.8091 1.8091 -3.7979
ATOMIC_POSITIONS crystal
Mn 0.0000 0.0000 0.0000
Cu 0.2500 0.7500 0.5000
Cu 0.7500 0.2500 0.5000
Ir 0.5000 0.5000 0.0000
```



# Al5Cu24

A crystal of Al5Cu24 relaxed with PBEsol (meta-GGA SCAN, the Alexandria database). Values from VASP.

```
&SYSTEM
  ibrav = 0, nat = 29, ntyp = 2
/
ATOMIC_SPECIES
Al 26.98 Al.upf
Cu 63.55 Cu.upf
CELL_PARAMETERS angstrom
-4.4216 4.4216 4.4216
4.4216 -4.4216 4.4216
4.4216 4.4216 -4.4216
ATOMIC_POSITIONS crystal
Al 0.0000 0.0000 0.0000
Al 0.0000 0.0000 0.6296
Al 0.0000 0.6296 0.0000
Al 0.3704 0.3704 0.3704
Al 0.6296 0.0000 0.0000
Cu 0.0000 0.1906 0.3756
Cu 0.0000 0.3756 0.1906
Cu 0.0000 0.4068 0.6825
Cu 0.0000 0.6825 0.4068
Cu 0.1850 0.8094 0.8094
Cu 0.1906 0.0000 0.3756
Cu 0.1906 0.3756 0.0000
Cu 0.2757 0.5932 0.5932
Cu 0.3175 0.3175 0.7243
Cu 0.3175 0.7243 0.3175
Cu 0.3756 0.0000 0.1906
Cu 0.3756 0.1906 0.0000
Cu 0.4068 0.0000 0.6825
Cu 0.4068 0.6825 0.0000
Cu 0.5932 0.2757 0.5932
Cu 0.5932 0.5932 0.2757
Cu 0.6244 0.6244 0.8150
Cu 0.6244 0.8150 0.6244
Cu 0.6825 0.0000 0.4068
Cu 0.6825 0.4068 0.0000
Cu 0.7243 0.3175 0.3175
Cu 0.8094 0.1850 0.8094
Cu 0.8094 0.8094 0.1850
Cu 0.8150 0.6244 0.6244
```



The following uncorrected energy values (in eV per cell) correspond, in order, to the records above: -118.7, -96.5, -85.2, -285.5, -156.8, -123.1, -84.2, -130.6, -119.9, -114.0, -104.5, -200.3, -120.2, -127.5, -294.8, -99.5, -226.7, -72.8, -120.3, -406.6.